1.
! PBE-GGA AlHgP2O8, relaxed; values from VASP
&SYSTEM
  ibrav = 0, nat = 12, ntyp = 4
/
ATOMIC_SPECIES
Al 26.98 Al.upf
Hg 200.59 Hg.upf
P 30.97 P.upf
O 16.00 O.upf
CELL_PARAMETERS angstrom
2.353 1.358 7.273
-2.353 1.358 7.273
0.000 -2.717 7.273
ATOMIC_POSITIONS angstrom
Al 0.000 0.000 0.000
Hg 0.000 0.000 10.910
P 0.000 0.000 5.662
P 0.000 0.000 16.158
O -1.753 -0.021 8.418
O 0.000 0.000 4.089
O -0.858 -1.528 13.402
O 0.894 -1.507 8.418
O -0.894 1.507 13.402
O 0.858 1.528 8.418
O 0.000 0.000 17.731
O 1.753 0.021 13.402
! D(E_F) ... 0.801 states/eV/atom
! E_tot ... -76.442 eV for the cell shown

2.
! PBE-GGA AgRh, relaxed; values from VASP
&SYSTEM
  ibrav = 0, nat = 8, ntyp = 2
/
ATOMIC_SPECIES
Ag 107.87 Ag.upf
Rh 102.91 Rh.upf
CELL_PARAMETERS angstrom
5.296 0.000 0.000
0.000 5.296 0.000
0.000 0.000 5.296
ATOMIC_POSITIONS angstrom
Ag 0.000 0.000 0.000
Ag 0.000 2.648 2.648
Ag 2.648 0.000 2.648
Ag 2.648 2.648 0.000
Rh 0.000 0.000 2.648
Rh 0.000 2.648 0.000
Rh 2.648 0.000 0.000
Rh 2.648 2.648 2.648
! Energy of formation ... 2.057 eV/f.u.
! D(E_F) ... 1.927 states/eV/atom

3.
! PBE-GGA Ba3Na7P4, relaxed; values from VASP
&SYSTEM
  ibrav = 0, nat = 14, ntyp = 3
/
ATOMIC_SPECIES
Ba 137.33 Ba.upf
Na 22.99 Na.upf
P 30.97 P.upf
CELL_PARAMETERS angstrom
8.999 -2.402 0.000
8.999 2.402 0.000
-6.861 0.000 9.132
ATOMIC_POSITIONS angstrom
Ba 0.000 0.000 0.000
Ba 3.542 0.000 2.320
Ba 7.594 0.000 6.812
Na -3.431 0.000 4.566
Na 0.274 0.000 3.839
Na -0.926 0.000 9.037
Na 3.825 0.000 6.572
Na 7.311 0.000 2.559
Na 12.063 0.000 0.095
Na 10.863 0.000 5.292
P -3.691 0.000 7.598
P 0.931 0.000 6.788
P 10.206 0.000 2.343
P 14.827 0.000 1.533
! Energy of formation ... -7.241 eV/f.u.
! D(E_F) ... 0.120 states/eV/atom

4.
! PBE-GGA KCd2Sn2Au6, relaxed; values from VASP
&SYSTEM
  ibrav = 0, nat = 11, ntyp = 4
/
ATOMIC_SPECIES
K 39.10 K.upf
Cd 112.41 Cd.upf
Sn 118.71 Sn.upf
Au 196.97 Au.upf
CELL_PARAMETERS angstrom
6.637 0.000 0.000
3.266 6.013 0.000
3.283 -0.405 6.660
ATOMIC_POSITIONS angstrom
K 0.000 0.000 0.000
Cd 3.318 0.938 3.250
Cd 9.868 4.670 3.410
Sn 6.572 1.069 6.212
Sn 6.615 4.539 0.447
Au 4.721 2.831 5.085
Au 4.720 2.840 1.559
Au 6.606 4.238 3.357
Au 6.580 1.370 3.302
Au 8.467 2.768 5.101
Au 8.465 2.777 1.574
! Energy of formation ... -1.527 eV/f.u.
! D(E_F) ... 0.298 states/eV/atom

5.
! PBE-GGA Rb2MgCuI5, relaxed; values from VASP
&SYSTEM
  ibrav = 0, nat = 18, ntyp = 4
/
ATOMIC_SPECIES
Rb 85.47 Rb.upf
Mg 24.30 Mg.upf
Cu 63.55 Cu.upf
I 126.90 I.upf
CELL_PARAMETERS angstrom
2.255 -10.785 0.000
2.255 10.785 0.000
0.000 0.000 15.043
ATOMIC_POSITIONS angstrom
Rb 2.255 8.142 7.521
Rb 2.255 8.085 1.842
Rb 2.255 -8.085 9.363
Rb 2.255 -8.142 0.000
Mg 2.255 6.382 12.362
Mg 2.255 -6.382 4.840
Cu 2.255 1.466 3.444
Cu 2.255 -1.466 10.966
I 2.255 9.304 12.363
I 2.255 4.422 6.833
I 2.255 4.243 2.763
I 2.255 3.519 12.209
I 2.255 0.097 1.273
I 2.255 -0.097 8.795
I 2.255 -3.519 4.688
I 2.255 -4.243 10.284
I 2.255 -4.422 14.354
I 2.255 -9.304 4.842
! D(E_F) ... 0.000 states/eV/atom
! E_tot ... -49.241 eV for the cell shown

6.
! PBE-GGA CdInB2, relaxed; values from VASP
&SYSTEM
  ibrav = 0, nat = 16, ntyp = 3
/
ATOMIC_SPECIES
Cd 112.41 Cd.upf
In 114.82 In.upf
B 10.81 B.upf
CELL_PARAMETERS angstrom
6.125 0.000 0.000
0.000 6.125 0.000
0.000 0.000 7.621
ATOMIC_POSITIONS angstrom
Cd 0.000 0.000 0.000
Cd 0.000 3.062 1.905
Cd 3.062 0.000 5.716
Cd 3.062 3.062 3.811
In 0.000 0.000 3.811
In 0.000 3.062 5.716
In 3.062 0.000 1.905
In 3.062 3.062 0.000
B 1.527 1.531 0.953
B 1.531 4.589 2.858
B 1.531 4.598 6.669
B 1.536 1.531 4.763
B 4.589 4.593 4.763
B 4.593 1.527 6.669
B 4.593 1.536 2.858
B 4.598 4.593 0.953
! Energy above the most stable polymorph in this dataset ... 0.0000 eV/atom
! Energy of formation ... 5.426 eV/f.u.
! D(E_F) ... 0.434 states/eV/atom

7.
! PBE-GGA Ca4CdFe, relaxed; values from VASP
&SYSTEM
  ibrav = 0, nat = 6, ntyp = 3
/
ATOMIC_SPECIES
Ca 40.08 Ca.upf
Cd 112.41 Cd.upf
Fe 55.84 Fe.upf
CELL_PARAMETERS angstrom
0.000 4.632 4.632
4.632 0.000 4.632
4.632 4.632 0.000
ATOMIC_POSITIONS angstrom
Ca 3.480 3.480 3.480
Ca 5.784 5.784 3.480
Ca 5.784 3.480 5.784
Ca 3.480 5.784 5.784
Cd 0.000 0.000 0.000
Fe 6.948 6.948 6.948
! Energy of formation ... 4.304 eV/f.u.
! D(E_F) ... 1.697 states/eV/atom

8.
! PBE-GGA HfThScNb, relaxed; values from VASP
&SYSTEM
  ibrav = 0, nat = 16, ntyp = 4
/
ATOMIC_SPECIES
Hf 178.49 Hf.upf
Th 232.04 Th.upf
Sc 44.96 Sc.upf
Nb 92.91 Nb.upf
CELL_PARAMETERS angstrom
7.196 0.000 0.000
0.000 7.196 0.000
0.000 0.000 7.196
ATOMIC_POSITIONS angstrom
Hf 0.000 0.000 0.000
Hf 0.000 3.598 3.598
Hf 3.598 0.000 3.598
Hf 3.598 3.598 0.000
Th 0.000 0.000 3.598
Th 0.000 3.598 0.000
Th 3.598 0.000 0.000
Th 3.598 3.598 3.598
Sc 1.799 1.799 1.799
Sc 1.799 5.397 5.397
Sc 5.397 1.799 5.397
Sc 5.397 5.397 1.799
Nb 1.799 1.799 5.397
Nb 1.799 5.397 1.799
Nb 5.397 1.799 1.799
Nb 5.397 5.397 5.397
! Energy of formation ... 0.564 eV/f.u.
! D(E_F) ... 1.710 states/eV/atom

9.
! PBE-GGA Rb2TaI6F, relaxed; values from VASP
&SYSTEM
  ibrav = 0, nat = 10, ntyp = 4
/
ATOMIC_SPECIES
Rb 85.47 Rb.upf
Ta 180.95 Ta.upf
I 126.90 I.upf
F 19.00 F.upf
CELL_PARAMETERS angstrom
-4.090 4.090 5.795
4.090 -4.090 5.795
4.090 4.090 -5.795
ATOMIC_POSITIONS angstrom
Rb 4.090 0.000 2.897
Rb 0.000 4.090 2.897
Ta 0.000 0.000 0.000
I 0.000 0.000 2.794
I 1.976 1.976 0.000
I 2.114 -2.114 5.795
I -2.114 2.114 5.795
I 2.114 2.114 5.795
I 0.000 0.000 8.795
F 0.000 0.000 5.795
! D(E_F) ... 0.000 states/eV/atom
! E_tot ... -34.296 eV for the cell shown

10.
! PBE-GGA TaFe2Re2, relaxed; values from VASP
&SYSTEM
  ibrav = 0, nat = 10, ntyp = 3
/
ATOMIC_SPECIES
Ta 180.95 Ta.upf
Fe 55.84 Fe.upf
Re 186.21 Re.upf
CELL_PARAMETERS angstrom
7.187 0.000 0.000
0.000 7.187 0.000
0.000 0.000 2.694
ATOMIC_POSITIONS angstrom
Ta 0.000 0.000 0.000
Ta 3.593 3.593 0.000
Fe 0.878 2.715 0.000
Fe 2.715 6.309 0.000
Fe 4.471 0.878 0.000
Fe 6.309 4.471 0.000
Re 1.234 4.827 1.347
Re 2.360 1.234 1.347
Re 4.827 5.953 1.347
Re 5.953 2.360 1.347
! Energy above the most stable polymorph in this dataset ... 0.0000 eV/atom
! Energy of formation ... 0.188 eV/f.u.
! D(E_F) ... 0.981 states/eV/atom

11.
! PBE-GGA Ba4PBr2N, relaxed; values from VASP
&SYSTEM
  ibrav = 0, nat = 8, ntyp = 4
/
ATOMIC_SPECIES
Ba 137.33 Ba.upf
P 30.97 P.upf
Br 79.90 Br.upf
N 14.01 N.upf
CELL_PARAMETERS angstrom
7.728 0.000 0.000
0.000 4.468 0.000
-2.635 0.000 7.996
ATOMIC_POSITIONS angstrom
Ba 1.149 0.000 1.554
Ba -0.253 2.234 6.397
Ba 5.346 2.234 1.599
Ba 3.944 0.000 6.442
P 3.864 0.000 0.000
Br -1.318 0.000 3.998
Br 2.547 2.234 3.998
N 0.000 2.234 0.000
! E_tot ... -35.412 eV for the cell shown

12.
! PBE-GGA Y2Ho7Pu, relaxed; values from VASP
&SYSTEM
  ibrav = 0, nat = 10, ntyp = 3
/
ATOMIC_SPECIES
Y 88.91 Y.upf
Ho 164.93 Ho.upf
Pu 244.00 Pu.upf
CELL_PARAMETERS angstrom
3.063 -14.698 0.000
3.063 14.698 0.000
-0.020 0.000 3.449
ATOMIC_POSITIONS angstrom
Y 3.063 8.624 0.000
Y 3.063 -8.624 0.000
Ho 1.480 2.890 2.618
Ho 3.053 5.600 1.725
Ho 1.480 -2.890 2.618
Ho 3.063 0.000 0.000
Ho 4.626 2.890 0.831
Ho 3.053 -5.600 1.725
Ho 4.626 -2.890 0.831
Pu -0.010 0.000 1.725
! Energy of formation ... 1.414 eV/f.u.
! D(E_F) ... 1.960 states/eV/atom

13.
! PBE-GGA Zr2AsPb, relaxed; values from VASP
&SYSTEM
  ibrav = 0, nat = 12, ntyp = 3
/
ATOMIC_SPECIES
Zr 91.22 Zr.upf
As 74.92 As.upf
Pb 207.20 Pb.upf
CELL_PARAMETERS angstrom
3.711 0.000 0.000
-1.855 3.213 0.000
0.000 0.000 23.256
ATOMIC_POSITIONS angstrom
Zr 0.000 0.000 0.000
Zr 0.000 0.000 4.604
Zr 0.000 2.142 15.504
Zr 0.000 2.142 20.108
Zr 1.855 1.071 7.752
Zr 1.855 1.071 12.356
As 0.000 0.000 13.934
As 0.000 2.142 6.183
As 1.855 1.071 21.686
Pb 0.000 0.000 10.030
Pb 0.000 2.142 2.278
Pb 1.855 1.071 17.781
! Energy above the most stable polymorph in this dataset ... 0.0000 eV/atom
! Energy of formation ... -2.554 eV/f.u.
! D(E_F) ... 0.437 states/eV/atom

14.
! PBE-GGA Ac3RuI, relaxed; values from VASP
&SYSTEM
  ibrav = 0, nat = 5, ntyp = 3
/
ATOMIC_SPECIES
Ac 227.00 Ac.upf
Ru 101.07 Ru.upf
I 126.90 I.upf
CELL_PARAMETERS angstrom
5.809 0.000 0.000
0.000 5.809 0.000
0.000 0.000 5.809
ATOMIC_POSITIONS angstrom
Ac 0.000 0.000 2.904
Ac 0.000 2.904 0.000
Ac 2.904 0.000 0.000
Ru 0.000 0.000 0.000
I 2.904 2.904 2.904
! Energy above the most stable polymorph in this dataset ... 0.1343 eV/atom
! D(E_F) ... 0.954 states/eV/atom

15.
! PBE-GGA ZrV2Pd9, relaxed; values from VASP
&SYSTEM
  ibrav = 0, nat = 12, ntyp = 3
/
ATOMIC_SPECIES
Zr 91.22 Zr.upf
V 50.94 V.upf
Pd 106.42 Pd.upf
CELL_PARAMETERS angstrom
3.953 0.000 0.000
0.000 3.953 0.000
0.000 0.000 11.832
ATOMIC_POSITIONS angstrom
Zr 0.000 0.000 0.000
V 0.000 0.000 4.008
V 0.000 0.000 7.823
Pd 0.000 1.977 2.050
Pd 0.000 1.977 5.916
Pd 0.000 1.977 9.781
Pd 1.977 0.000 2.050
Pd 1.977 0.000 5.916
Pd 1.977 0.000 9.781
Pd 1.977 1.977 0.000
Pd 1.977 1.977 3.982
Pd 1.977 1.977 7.850
! Energy of formation ... -4.970 eV/f.u.
! D(E_F) ... 1.064 states/eV/atom

16.
! PBE-GGA CaZr2Ti4, relaxed; values from VASP
&SYSTEM
  ibrav = 0, nat = 14, ntyp = 3
/
ATOMIC_SPECIES
Ca 40.08 Ca.upf
Zr 91.22 Zr.upf
Ti 47.87 Ti.upf
CELL_PARAMETERS angstrom
4.586 0.000 0.000
0.000 4.586 0.000
0.000 0.000 15.028
ATOMIC_POSITIONS angstrom
Ca 0.000 0.000 0.000
Ca 2.293 2.293 7.514
Zr 0.000 0.000 5.583
Zr 0.000 0.000 9.445
Zr 2.293 2.293 1.931
Zr 2.293 2.293 13.097
Ti 0.000 0.000 2.771
Ti 0.000 0.000 12.257
Ti 0.000 2.293 0.000
Ti 0.000 2.293 7.514
Ti 2.293 0.000 0.000
Ti 2.293 0.000 7.514
Ti 2.293 2.293 4.743
Ti 2.293 2.293 10.285
! Energy of formation ... 8.532 eV/f.u.
! D(E_F) ... 1.448 states/eV/atom

17.
! PBE-GGA RbScV3, relaxed; values from VASP
&SYSTEM
  ibrav = 0, nat = 5, ntyp = 3
/
ATOMIC_SPECIES
Rb 85.47 Rb.upf
Sc 44.96 Sc.upf
V 50.94 V.upf
CELL_PARAMETERS angstrom
4.573 0.000 0.000
0.000 4.573 0.000
0.000 0.000 4.573
ATOMIC_POSITIONS angstrom
Rb 0.000 0.000 0.000
Sc 2.286 2.286 2.286
V 0.000 0.000 2.286
V 0.000 2.286 0.000
V 2.286 0.000 0.000
! Energy above the most stable polymorph in this dataset ... 0.4461 eV/atom
! Energy of formation ... 11.339 eV/f.u.
! D(E_F) ... 0.952 states/eV/atom

18.
! PBE-GGA Pm3Y4Er, relaxed; values from VASP
&SYSTEM
  ibrav = 0, nat = 8, ntyp = 3
/
ATOMIC_SPECIES
Pm 145.00 Pm.upf
Y 88.91 Y.upf
Er 167.26 Er.upf
CELL_PARAMETERS angstrom
6.223 0.000 0.000
0.000 3.596 0.000
-2.074 0.000 11.704
ATOMIC_POSITIONS angstrom
Pm 0.000 0.000 0.000
Pm -1.037 1.798 5.852
Pm 2.075 0.000 5.852
Y 1.042 1.798 2.908
Y 0.000 0.000 8.799
Y 4.150 0.000 2.905
Y 3.107 1.798 8.796
Er 3.112 1.798 0.000
! Energy above the most stable polymorph in this dataset ... 0.0161 eV/atom
! Energy of formation ... 0.144 eV/f.u.
! D(E_F) ... 1.449 states/eV/atom

19.
! PBE-GGA Ca2TaMn, relaxed; values from VASP
&SYSTEM
  ibrav = 0, nat = 4, ntyp = 3
/
ATOMIC_SPECIES
Ca 40.08 Ca.upf
Ta 180.95 Ta.upf
Mn 54.94 Mn.upf
CELL_PARAMETERS angstrom
3.121 0.000 0.000
0.000 3.121 0.000
0.000 0.000 9.827
ATOMIC_POSITIONS angstrom
Ca 0.000 0.000 2.431
Ca 0.000 0.000 7.396
Ta 1.561 1.561 4.913
Mn 1.561 1.561 0.000
! Energy above the most stable polymorph in this dataset ... 0.4485 eV/atom
! Energy of formation ... 3.031 eV/f.u.
! D(E_F) ... 1.390 states/eV/atom

20.
! PBE-GGA NpP2Ir2, relaxed; values from VASP
&SYSTEM
  ibrav = 0, nat = 10, ntyp = 3
/
ATOMIC_SPECIES
Np 237.00 Np.upf
P 30.97 P.upf
Ir 192.22 Ir.upf
CELL_PARAMETERS angstrom
4.122 0.000 0.000
0.000 4.122 0.000
0.000 0.000 9.621
ATOMIC_POSITIONS angstrom
Np 1.031 1.031 2.328
Np 3.092 3.092 7.293
P 1.031 1.031 6.167
P 1.031 3.092 0.000
P 3.092 1.031 0.000
P 3.092 3.092 3.454
Ir 1.031 1.031 8.509
Ir 1.031 3.092 4.811
Ir 3.092 1.031 4.811
Ir 3.092 3.092 1.112
! Energy of formation ... -3.417 eV/f.u.
! D(E_F) ... 2.171 states/eV/atom

21.
! PBE-GGA BaCaTe2, relaxed; values from VASP
&SYSTEM
  ibrav = 0, nat = 8, ntyp = 3
/
ATOMIC_SPECIES
Ba 137.33 Ba.upf
Ca 40.08 Ca.upf
Te 127.60 Te.upf
CELL_PARAMETERS angstrom
5.000 0.000 0.000
0.000 4.493 0.000
0.000 0.000 13.764
ATOMIC_POSITIONS angstrom
Ba 0.000 0.000 0.000
Ba 0.000 2.247 6.882
Ca 2.500 0.000 10.247
Ca 2.500 2.247 3.365
Te 0.000 0.000 3.708
Te 0.000 2.247 10.590
Te 2.500 0.000 7.225
Te 2.500 2.247 0.343
! Energy above the most stable polymorph in this dataset ... 0.1608 eV/atom

22.
! PBE-GGA Bi2TePbO8, relaxed; values from VASP
&SYSTEM
  ibrav = 0, nat = 12, ntyp = 4
/
ATOMIC_SPECIES
Bi 208.98 Bi.upf
Te 127.60 Te.upf
Pb 207.20 Pb.upf
O 16.00 O.upf
CELL_PARAMETERS angstrom
3.595 -3.703 0.000
3.595 3.703 0.000
0.000 0.000 6.901
ATOMIC_POSITIONS angstrom
Bi 0.000 0.000 1.683
Bi 0.000 0.000 5.218
Te 3.595 0.000 0.000
Pb 3.595 0.000 3.450
O 1.488 0.000 3.450
O 1.650 0.000 0.000
O 3.595 1.318 1.501
O 3.595 1.318 5.400
O 3.595 -1.318 1.501
O 3.595 -1.318 5.400
O 5.540 0.000 0.000
O 5.703 0.000 3.450
! E_tot ... -66.590 eV for the cell shown

23.
! PBE-GGA Cs2RbNaI, relaxed; values from VASP
&SYSTEM
  ibrav = 0, nat = 5, ntyp = 4
/
ATOMIC_SPECIES
Cs 132.91 Cs.upf
Rb 85.47 Rb.upf
Na 22.99 Na.upf
I 126.90 I.upf
CELL_PARAMETERS angstrom
7.542 0.000 0.000
0.000 7.542 0.000
0.000 0.000 7.198
ATOMIC_POSITIONS angstrom
Cs 0.000 3.771 0.000
Cs 3.771 0.000 0.000
Rb 0.000 0.000 3.599
Na 3.771 3.771 3.599
I 0.000 0.000 0.000
! Energy above the most stable polymorph in this dataset ... 0.0000 eV/atom
! D(E_F) ... 0.694 states/eV/atom

24.
! PBE-GGA Hf8As2C3, relaxed; values from VASP
&SYSTEM
  ibrav = 0, nat = 13, ntyp = 3
/
ATOMIC_SPECIES
Hf 178.49 Hf.upf
As 74.92 As.upf
C 12.01 C.upf
CELL_PARAMETERS angstrom
6.311 -3.341 0.000
6.311 3.341 0.000
-1.666 0.000 5.688
ATOMIC_POSITIONS angstrom
Hf 0.532 0.000 2.376
Hf 4.874 1.669 0.629
Hf 6.083 1.669 5.058
Hf 4.036 0.000 3.472
Hf 6.921 0.000 2.216
Hf 4.874 -1.669 0.629
Hf 6.083 -1.669 5.058
Hf 10.425 0.000 3.312
As 2.809 0.000 1.060
As 8.148 0.000 4.628
C 5.479 1.581 2.844
C 6.311 0.000 0.000
C 5.479 -1.581 2.844
! Energy of formation ... -8.106 eV/f.u.
! D(E_F) ... 0.608 states/eV/atom